# 1
ZrSc | PBE | optimized geometry

a b c (Å): 5.6478 5.1421 6.5048
angles (deg): 90.00 90.00 90.00
Closest atoms and distances in Å follow each position.
Space group Pnma (No. 62)
Asymmetric unit:
Zr  0.0810  0.2500  0.1264 x4  8 Sc 3.18-3.27, 4 Zr 3.19-3.25
Sc  0.0836  0.2500  0.6240 x4  4 Sc 3.18-3.27, 8 Zr 3.18-3.27

Values from the calculation:
The calculation puts the density of states at the Fermi level at 10.635 states/eV/cell. Its energy of formation from the pure elements is -24 meV per atom.

# 2
Ca5Hg2H | PBE | optimized geometry

a b c (Å): 17.2851 6.9724 7.7187
angles (deg): 90.00 94.81 90.00
Closest atoms and distances in Å follow each position.
Space group C2/c (No. 15)
Asymmetric unit:
Ca  0.0000  0.0721  0.2500 x4  4 Hg 3.12-3.15
Ca  0.0970  0.3689  0.9383 x8  1 H 2.77, 2 Hg 3.09-3.10
Ca  0.2242  0.0634  0.3043 x8  2 H 2.67-2.75
Hg  0.1098  0.2108  0.5666 x8  7 Ca 3.09-3.35
H  0.2500  0.2500  0.0000 x4  6 Ca 2.67-2.77

Values from the calculation:
The calculation puts the density of states at the Fermi level at 25.178 states/eV/cell. The value obtained for the polymorph energy (0 for the lowest one) is 0.0000 eV per atom.